# PBEsol SrY2Cd, optimized geometry
data_SrY2Cd
_symmetry_space_group_name_H-M 'P 1'
_symmetry_Int_Tables_number 1
_cell_length_a 3.884
_cell_length_b 5.477
_cell_length_c 6.711
_cell_angle_alpha 114.08
_cell_angle_beta 106.82
_cell_angle_gamma 90.00
loop_
_symmetry_equiv_pos_as_xyz
'x,y,z'
loop_
_atom_site_label
_atom_site_type_symbol
_atom_site_fract_x
_atom_site_fract_y
_atom_site_fract_z
_atom_site_occupancy
Y1 Y 0.005 0.005 0.009 1
Y2 Y 0.786 0.286 0.571 1
Cd1 Cd 0.490 0.490 0.980 1
Sr1 Sr 0.220 0.720 0.439 1
# formation energy from the elements: -3 meV per atom
# density of states at the Fermi level: 5.5 states/eV/f.u.
# total magnetic moment: 0.0 μB/cell